Computed, not measured: a relaxed CePu2Pt crystal at the PBE level of DFT.

The structure in POSCAR format:
```
CePu2Pt
1.0
3.598 0.000 0.000
0.000 3.598 0.000
0.000 0.000 7.243
Ce Pt Pu
1 1 2
Cartesian
1.799 1.799 3.621
1.799 1.799 0.000
0.000 0.000 5.650
0.000 0.000 1.592
```

Polymorph energy (0 for the lowest one) (meV per atom): 60
SG: No. 123
E (eV per cell): -42.0
DOS at the Fermi energy (states/eV per atom): 3.49
Calculated formation energy (eV/atom): -0.33